Compound: BaNaAg2Os
Source: Alexandria via LeMat-Bulk
Functional: PBE-GGA
Structure: relaxed

Geometry as extended XYZ:
```
5
Lattice="6.149 0.000 0.000 0.000 5.426 0.000 0.000 0.000 6.149" Properties=species:S:1:pos:R:3 pbc="T T T"
Na 3.075 2.713 3.075
Os 0.000 2.713 0.000
Ba 0.000 0.000 0.000
Ag 0.000 0.000 3.075
Ag 3.075 0.000 0.000
```

Properties
ΔE_f ... 756 kJ/mol of formula units
Crystal system ... tetragonal
Space-group type ... No. 123
Magnetic moment ... 2.27 μB per formula unit


Compound: NbTlSe2
Source: Alexandria via LeMat-Bulk
Functional: PBE-GGA
Structure: relaxed

Geometry as extended XYZ:
```
16
Lattice="-4.136 5.381 -5.850 -3.045 -1.444 0.825 -1.936 10.259 10.805" Properties=species:S:1:pos:R:3 pbc="T T T"
Tl -2.365 6.548 6.374
Tl -4.192 2.351 -0.415
Tl -6.752 7.649 -0.594
Tl -4.926 11.846 6.195
Nb -3.623 6.628 1.873
Nb -4.092 8.406 10.547
Nb -5.495 7.569 3.907
Nb -5.025 5.790 -4.767
Se -4.757 9.010 1.857
Se -5.612 3.550 -3.559
Se -4.361 5.187 3.923
Se -3.505 10.646 9.339
Se -3.803 8.985 5.333
Se -3.038 1.417 2.209
Se -5.314 5.212 0.447
Se -6.079 12.780 3.571
```

Properties
Crystal system ... orthorhombic
Space-group type ... No. 62
Magnetic moment ... 0.00 μB per formula unit
Electronic total energy ... -87.24 eV for the cell shown


Compound: Ba2Cu2Si
Source: Alexandria via LeMat-Bulk
Functional: PBE-GGA
Structure: relaxed

Geometry as extended XYZ:
```
10
Lattice="-6.552 2.033 2.534 -2.849 -6.337 -2.283 1.034 -2.008 4.283" Properties=species:S:1:pos:R:3 pbc="T T T"
Si 0.000 0.000 0.000
Si -4.700 -2.152 0.126
Ba -2.686 -4.986 1.048
Ba -6.309 -4.740 2.037
Ba -5.681 -1.325 3.487
Ba -2.058 -1.571 2.497
Cu -4.984 -4.798 -1.046
Cu -7.527 -2.152 0.808
Cu -4.417 0.494 1.298
Cu -1.874 -2.152 -0.557
```

Properties
Crystal system ... tetragonal
Space-group type ... No. 127
Magnetic moment ... 0.00 μB per formula unit
Energy relative to the lowest polymorph listed for this composition ... 0.239 eV/atom


Compound: U2Ge4IrPt3
Source: Alexandria via LeMat-Bulk
Functional: PBE-GGA
Structure: relaxed

Geometry as extended XYZ:
```
10
Lattice="4.107 0.000 0.000 0.000 4.107 0.000 0.000 0.000 10.964" Properties=species:S:1:pos:R:3 pbc="T T T"
U 2.053 0.000 2.842
U 0.000 2.053 8.122
Ge 2.053 2.053 0.000
Ge 0.000 0.000 0.000
Ge 2.053 0.000 6.958
Ge 0.000 2.053 4.007
Ir 2.053 2.053 5.482
Pt 0.000 0.000 5.482
Pt 2.053 0.000 9.396
Pt 0.000 2.053 1.568
```

Properties
ΔE_f ... -507 kJ/mol of formula units
Crystal system ... tetragonal
Space-group type ... No. 115
Magnetic moment ... 4.46 μB per formula unit


Compound: CaMg2
Source: Alexandria via LeMat-Bulk
Functional: PBE-GGA
Structure: relaxed

Geometry as extended XYZ:
```
6
Lattice="2.432 -7.414 0.000 2.432 7.414 0.000 0.000 0.000 4.762" Properties=species:S:1:pos:R:3 pbc="T T T"
Ca 2.432 5.440 2.381
Ca 2.432 -4.617 2.381
Mg 2.432 -7.002 0.000
Mg 2.432 2.757 0.000
Mg 2.432 -1.934 0.000
Mg 2.432 0.412 2.381
```

Properties
ΔE_f ... -10 kJ/mol of formula units
Crystal system ... orthorhombic
Space-group type ... No. 65
Magnetic moment ... 0.00 μB per formula unit


Compound: Ba4Ge2H
Source: Alexandria via LeMat-Bulk
Functional: PBE-GGA
Structure: relaxed

Geometry as extended XYZ:
```
7
Lattice="5.299 0.000 0.000 0.000 5.299 0.000 -2.649 -2.649 8.842" Properties=species:S:1:pos:R:3 pbc="T T T"
H 0.000 0.000 0.000
Ge 2.649 2.649 2.264
Ge 0.000 0.000 6.578
Ba 2.649 2.649 5.556
Ba 0.000 0.000 3.286
Ba 0.000 2.649 0.000
Ba 2.649 0.000 0.000
```

Properties
Crystal system ... tetragonal
Space-group type ... No. 139
Magnetic moment ... 0.00 μB per formula unit
Energy relative to the lowest polymorph listed for this composition ... 0.000 eV/atom


Compound: Na4Tl3In5
Source: Alexandria via LeMat-Bulk
Functional: PBE-GGA
Structure: relaxed

Geometry as extended XYZ:
```
12
Lattice="5.614 -0.001 1.548 2.858 8.520 0.586 0.865 -1.518 7.820" Properties=species:S:1:pos:R:3 pbc="T T T"
Na 1.377 0.922 5.963
Na 4.178 6.127 6.756
Na 5.159 0.874 3.199
Na 7.961 6.079 3.992
Tl 4.968 7.636 3.890
Tl 1.862 3.501 4.203
Tl 4.370 -0.635 6.065
In 6.656 5.359 8.724
In 4.669 3.501 4.977
In 3.904 2.856 7.753
In 5.434 4.146 2.202
In 2.681 1.642 1.231
```

Properties
ΔE_f ... 2 kJ/mol of formula units
Crystal system ... monoclinic
Space-group type ... No. 12
Magnetic moment ... 0.00 μB per formula unit


Compound: ZrCrCl2
Source: Alexandria via LeMat-Bulk
Functional: PBE-GGA
Structure: relaxed

Geometry as extended XYZ:
```
4
Lattice="-2.246 -0.588 -2.385 1.527 -2.866 -0.731 -4.645 -3.832 5.321" Properties=species:S:1:pos:R:3 pbc="T T T"
Cr -2.345 -1.934 2.686
Zr -3.692 -4.476 2.260
Cl -4.284 -3.534 4.908
Cl -2.011 -3.089 0.334
```

Properties
Crystal system ... tetragonal
Space-group type ... No. 99
Magnetic moment ... 3.98 μB per formula unit
Energy relative to the lowest polymorph listed for this composition ... 0.092 eV/atom


Compound: Ca2TcSe
Source: Alexandria via LeMat-Bulk
Functional: PBE-GGA
Structure: relaxed

Geometry as extended XYZ:
```
4
Lattice="5.971 -0.001 0.012 5.010 3.248 0.012 1.475 0.436 4.802" Properties=species:S:1:pos:R:3 pbc="T T T"
Ca 10.846 3.207 0.241
Ca 9.535 2.819 3.347
Tc 2.589 0.766 1.244
Se 6.694 1.979 2.432
```

Properties
Crystal system ... monoclinic
Space-group type ... No. 8
Magnetic moment ... 1.03 μB per formula unit
Electronic total energy ... -18.90 eV for the cell shown


Compound: CeErPu2
Source: Alexandria via LeMat-Bulk
Functional: PBE-GGA
Structure: relaxed

Geometry as extended XYZ:
```
4
Lattice="4.718 0.000 0.000 0.000 4.844 0.000 0.000 0.000 4.844" Properties=species:S:1:pos:R:3 pbc="T T T"
Er 2.359 2.422 2.422
Ce 2.359 0.000 0.000
Pu 0.000 0.000 2.422
Pu 0.000 2.422 0.000
```

Properties
ΔE_f ... 65 kJ/mol of formula units
Crystal system ... tetragonal
Space-group type ... No. 123
Magnetic moment ... 12.46 μB per formula unit
Energy relative to the lowest polymorph listed for this composition ... 0.025 eV/atom


Compound: LaMnOs2
Source: Alexandria via LeMat-Bulk
Functional: PBE-GGA
Structure: relaxed

Geometry as extended XYZ:
```
4
Lattice="-0.360 2.707 1.031 -2.429 -0.848 1.378 4.670 -2.039 6.981" Properties=species:S:1:pos:R:3 pbc="T T T"
La 2.266 -0.989 3.387
Mn 2.362 -0.711 6.820
Os 0.055 -0.024 0.082
Os -0.467 0.524 2.591
```

Properties
ΔE_f ... 137 kJ/mol of formula units
Crystal system ... tetragonal
Space-group type ... No. 99
Magnetic moment ... 4.06 μB per formula unit
Energy relative to the lowest polymorph listed for this composition ... 0.077 eV/atom


Compound: Y2CrBr
Source: Alexandria via LeMat-Bulk
Functional: PBE-GGA
Structure: relaxed

Geometry as extended XYZ:
```
4
Lattice="0.000 3.593 3.593 3.593 0.000 3.593 3.593 3.593 0.000" Properties=species:S:1:pos:R:3 pbc="T T T"
Y 1.796 1.796 1.796
Y 5.389 5.389 5.389
Cr 0.000 0.000 0.000
Br 3.593 3.593 3.593
```

Properties
Crystal system ... cubic
Space-group type ... No. 225
Magnetic moment ... 0.00 μB per formula unit
Energy relative to the lowest polymorph listed for this composition ... 0.697 eV/atom


Compound: Li2Zn2In
Source: Alexandria via LeMat-Bulk
Functional: PBE-GGA
Structure: relaxed

Geometry as extended XYZ:
```
10
Lattice="-0.349 3.112 -3.311 -1.590 -1.176 -4.074 -6.359 8.185 5.227" Properties=species:S:1:pos:R:3 pbc="T T T"
Li -2.922 4.745 -1.505
Li -6.697 10.276 0.955
Li -5.375 5.376 -0.653
Li -1.600 -0.155 -3.113
Zn -3.921 4.528 1.532
Zn -6.881 8.281 -0.901
Zn -4.376 5.594 -3.691
Zn -1.417 1.841 -1.257
In -5.370 7.428 1.275
In -2.927 2.693 -3.433
```

Properties
ΔE_f ... -90 kJ/mol of formula units
Crystal system ... monoclinic
Space-group type ... No. 12
Magnetic moment ... 0.00 μB per formula unit
Energy relative to the lowest polymorph listed for this composition ... 0.021 eV/atom


Compound: Sb2TeRu
Source: Alexandria via LeMat-Bulk
Functional: PBE-GGA
Structure: relaxed

Geometry as extended XYZ:
```
4
Lattice="3.745 -0.154 0.163 2.387 2.890 0.163 1.069 0.477 9.016" Properties=species:S:1:pos:R:3 pbc="T T T"
Ru 1.798 0.802 2.347
Sb 6.054 2.701 0.737
Sb 5.440 2.427 7.260
Te 3.641 1.625 3.997
```

Properties
Crystal system ... monoclinic
Space-group type ... No. 8
Magnetic moment ... 0.00 μB per formula unit
Electronic total energy ... -20.25 eV for the cell shown


Compound: BaMg2Te
Source: Alexandria via LeMat-Bulk
Functional: PBE-GGA
Structure: relaxed

Geometry as extended XYZ:
```
4
Lattice="-3.928 -1.744 -0.507 1.723 -4.070 0.655 0.033 -2.255 7.496" Properties=species:S:1:pos:R:3 pbc="T T T"
Ba -0.747 -5.302 5.555
Mg 0.019 -0.237 0.665
Mg -1.193 -3.141 1.575
Te 0.626 -2.551 3.923
```

Properties
Crystal system ... monoclinic
Space-group type ... No. 6
Magnetic moment ... 0.00 μB per formula unit
Electronic total energy ... -10.46 eV for the cell shown


Compound: LiNdPuGa
Source: Alexandria via LeMat-Bulk
Functional: PBE-GGA
Structure: relaxed

Geometry as extended XYZ:
```
4
Lattice="-2.231 2.649 3.857 -5.093 -0.457 0.852 -1.710 -2.496 4.209" Properties=species:S:1:pos:R:3 pbc="T T T"
Li -6.776 -0.228 6.688
Nd -4.517 -0.152 4.459
Ga -2.259 -0.076 2.229
Pu 0.000 0.000 0.000
```

Properties
ΔE_f ... -33 kJ/mol of formula units
Crystal system ... cubic
Space-group type ... No. 216
Magnetic moment ... 6.43 μB per formula unit


Compound: Mg2ZnPd2
Source: Alexandria via LeMat-Bulk
Functional: PBE-GGA
Structure: relaxed

Geometry as extended XYZ:
```
5
Lattice="3.906 0.000 0.000 0.000 3.906 0.000 1.953 1.953 6.138" Properties=species:S:1:pos:R:3 pbc="T T T"
Zn 0.000 0.000 0.000
Mg 3.906 1.953 3.069
Mg 1.953 3.906 3.069
Pd 1.953 1.953 1.287
Pd 3.906 3.906 4.851
```

Properties
ΔE_f ... -83 kJ/mol of formula units
Crystal system ... tetragonal
Space-group type ... No. 139
Magnetic moment ... 0.00 μB per formula unit


Compound: Ag2RhS2
Source: Alexandria via LeMat-Bulk
Functional: PBE-GGA
Structure: relaxed

Geometry as extended XYZ:
```
10
Lattice="6.194 0.000 0.000 0.000 6.194 0.000 0.000 0.000 4.826" Properties=species:S:1:pos:R:3 pbc="T T T"
S 2.130 5.227 0.000
S 5.227 4.064 0.000
S 4.064 0.967 0.000
S 0.967 2.130 0.000
Rh 0.000 0.000 0.000
Rh 3.097 3.097 0.000
Ag 1.760 4.858 2.413
Ag 4.858 4.434 2.413
Ag 4.434 1.337 2.413
Ag 1.337 1.760 2.413
```

Properties
Crystal system ... tetragonal
Space-group type ... No. 127
Magnetic moment ... 0.00 μB per formula unit
Energy relative to the lowest polymorph listed for this composition ... 0.000 eV/atom


Compound: MnSiOs
Source: Alexandria via LeMat-Bulk
Functional: PBE-GGA
Structure: relaxed

Geometry as extended XYZ:
```
3
Lattice="3.903 0.000 0.000 1.952 3.380 0.000 1.952 1.127 3.187" Properties=species:S:1:pos:R:3 pbc="T T T"
Mn 5.855 3.380 2.390
Os 0.000 0.000 0.000
Si 3.903 2.254 1.594
```

Properties
Crystal system ... cubic
Space-group type ... No. 216
Magnetic moment ... 0.00 μB per formula unit
Electronic total energy ... -26.14 eV for the cell shown


Compound: In2Co
Source: Alexandria via LeMat-Bulk
Functional: PBE-GGA
Structure: relaxed

Geometry as extended XYZ:
```
3
Lattice="-1.543 1.543 5.961 1.543 -1.543 5.961 1.543 1.543 -5.961" Properties=species:S:1:pos:R:3 pbc="T T T"
In 0.000 0.000 7.584
In 0.000 0.000 4.337
Co 0.000 0.000 0.000
```

Properties
ΔE_f ... 59 kJ/mol of formula units
Crystal system ... tetragonal
Space-group type ... No. 139
Magnetic moment ... 0.53 μB per formula unit